Entry 1:
The following is a DFT calculation (PBE-GGA) of a relaxed structure of PuGeAuO6.

DOS at the Fermi energy = 4.5 states/eV/f.u.
Formation energy without anion corrections = -1393 meV per atom
Total moment = 1.89 μB per cell

a = 5.316 Å, b = 5.316 Å, c = 9.637 Å
α = 90.00°, β = 90.00°, γ = 120.00°
Fractional positions:
Pu (0.333, 0.667, 0.250)
Pu (0.667, 0.333, 0.750)
Ge (0.333, 0.667, 0.750)
Ge (0.667, 0.333, 0.250)
Au (0.000, 0.000, 0.000)
Au (0.000, 0.000, 0.500)
O (0.020, 0.372, 0.638)
O (0.020, 0.647, 0.862)
O (0.353, 0.372, 0.862)
O (0.353, 0.980, 0.638)
O (0.372, 0.020, 0.138)
O (0.372, 0.353, 0.362)
O (0.628, 0.647, 0.638)
O (0.628, 0.980, 0.862)
O (0.647, 0.020, 0.362)
O (0.647, 0.628, 0.138)
O (0.980, 0.353, 0.138)
O (0.980, 0.628, 0.362)

***

Entry 2:
The following is a DFT calculation (PBE-GGA) of a relaxed structure of Mn3HgGe.

Formation energy = 1.184 eV/atom
Energy above the lowest structure with this stoichiometry = 537 meV per atom
DOS at the Fermi energy = 2.7 states/eV/f.u.
Total moment = 11.99 μB per cell

a = 5.007 Å, b = 5.007 Å, c = 5.007 Å
α = 90.00°, β = 90.00°, γ = 90.00°
Fractional positions:
Mn (0.000, 0.000, 0.500)
Mn (0.000, 0.500, 0.000)
Mn (0.500, 0.000, 0.000)
Hg (0.000, 0.000, 0.000)
Ge (0.500, 0.500, 0.500)